The following is a DFT calculation (PBE-GGA) of an optimized crystal structure of ZrTcBi3.

Output
The size of the total moment comes out at 2.2 μB/f.u. The formation energy comes out at 0.846 eV per atom. As for the volume: 29.9 Å³ per atom. Its crystal system is cubic. The calculation puts the total energy at -5.27 eV per atom. Its polymorph energy (0 for the lowest one) is 0.000 kcal/mol of atoms.

```
data_ZrTcBi3
_space_group_name_H-M_alt 'P m -3 m'
_space_group_IT_number 221
_space_group_name_Hall '-P 4 2 3'
_cell_length_a 5.308
_cell_length_b 5.308
_cell_length_c 5.308
_cell_angle_alpha 90.00
_cell_angle_beta 90.00
_cell_angle_gamma 90.00
loop_
_atom_site_label
_atom_site_type_symbol
_atom_site_fract_x
_atom_site_fract_y
_atom_site_fract_z
Zr1 Zr 0.000 0.000 0.000
Tc1 Tc 0.500 0.500 0.500
Bi1 Bi 0.000 0.500 0.500
```